Material: OsCSe2Br
Method: DFT, PBE
State: relaxed

Values from the calculation:
**Crystal system**: tetragonal
**D(E_F)**: 5.412 states/eV per cell
**E_form (uncorrected)**: 1.82 eV/atom
**Energy above the most stable polymorph in this dataset**: 0 meV per atom
**Space group**: P4/mmm

abc: 4.765 4.765 5.355
angles: 90.00 90.00 90.00
Last column: magnetic moment on the atom in μB.
Atoms (fractional coordinates):
Br 0.000 0.000 0.500  -0.04
Se 0.000 0.500 0.000  -0.06
Se 0.500 0.000 0.000  -0.06
C 0.500 0.500 0.500  0.87
Os 0.000 0.000 0.000  0.05